## SiRuCl (PBE)

Data for a relaxed structure of SiRuCl.

abc: 6.2227 6.2227 6.2227
angles: 152.09 152.09 39.89
Closest atoms and distances in Å follow each position.
Sites, in units of the cell vectors:
Si  0.0000  0.0000  0.0000  1 Cl 2.12
Ru  0.4019  0.4019  0.0000  4 Si 2.41, 1 Cl 2.58
Cl  0.1815  0.1815  0.0000  1 Si 2.12

Computed properties:
For the magnetic moment, the calculation gives 0.0654 μB per atom. As for the energy relative to the elements, uncorrected: -0.229 eV per atom. For the energy relative to the lowest polymorph listed for this composition, the calculation gives 0.00 eV per formula unit. The space group is I4mm (107).

---

## Si2RuCl (PBE)

Data for a relaxed structure of Si2RuCl.

abc: 4.3787 4.3787 4.3787
angles: 119.85 119.85 90.26
Closest atoms and distances in Å follow each position.
Sites, in units of the cell vectors:
Si  0.0000  0.0000  0.0000  4 Cl 2.68, 4 Si 2.68
Si  0.7500  0.2500  0.5000  4 Ru 2.68, 4 Si 2.68
Ru  0.5000  0.5000  0.0000  4 Cl 2.68, 4 Si 2.68
Cl  0.2500  0.7500  0.5000  4 Ru 2.68, 4 Si 2.68

Computed properties:
For the magnetic moment, the calculation gives 0.0000 μB per atom. As for the energy relative to the elements, uncorrected: 0.553 eV per atom. For the energy relative to the lowest polymorph listed for this composition, the calculation gives 2.79 eV per formula unit. The space group is I-4m2 (119).

---

## Si2RuCl (PBE)

Data for a relaxed structure of Si2RuCl.

abc: 5.9810 5.9810 5.9810
angles: 152.72 138.77 50.15
Closest atoms and distances in Å follow each position.
Sites, in units of the cell vectors:
Si  0.1986  0.1986  0.0000  2 Ru 2.57, 6 Si 2.77-2.82
Si  0.8014  0.8014  0.0000  2 Ru 2.57, 6 Si 2.77-2.82
Ru  0.0000  0.5000  0.5000  4 Cl 2.53, 4 Si 2.57, 2 Ru 2.82
Cl  0.5000  0.0000  0.5000  4 Ru 2.53, 2 Cl 2.82

Computed properties:
For the magnetic moment, the calculation gives 0.0000 μB per atom. As for the energy relative to the elements, uncorrected: 0.340 eV per atom. For the energy relative to the lowest polymorph listed for this composition, the calculation gives 1.94 eV per formula unit. The space group is Immm (71).